(1)
# BaSrIn2, optimized geometry, DFT PBEsol
# * total DFT energy (no corrections): -2.916 eV per atom
# * calculated volume: 134 Å³ per cell
# * ρ: 5.6 g/cm³
# * formation enthalpy at 0 K: -0.427 eV/atom
data_BaSrIn2
_chemical_formula_sum 'Ba1 Sr1 In2'
_cell_length_a 4.052
_cell_length_b 5.491
_cell_length_c 6.018
_cell_angle_alpha 90.00
_cell_angle_beta 90.00
_cell_angle_gamma 90.00
_symmetry_space_group_name_H-M 'P m m 2'
_symmetry_Int_Tables_number 25
loop_
_symmetry_equiv_pos_as_xyz
'x,y,z'
'-x,-y,z'
'-x,y,z'
'x,-y,z'
loop_
_atom_site_label
_atom_site_fract_x
_atom_site_fract_y
_atom_site_fract_z
Ba1 0.000 0.000 0.000
Sr1 0.000 0.500 0.594
In1 0.500 0.000 0.476
In2 0.500 0.500 0.135

---

(2)
# Co4BrCl, optimized geometry, DFT PBEsol
# * total DFT energy (no corrections): -4.980 eV per atom
# * calculated volume: 341 Å³ per cell
# * ρ: 6.8 g/cm³
# * formation energy from raw total energies: 824 meV/atom
data_Co4BrCl
_chemical_formula_sum 'Co16 Br4 Cl4'
_cell_length_a 6.987
_cell_length_b 6.987
_cell_length_c 6.987
_cell_angle_alpha 90.00
_cell_angle_beta 90.00
_cell_angle_gamma 90.00
_symmetry_space_group_name_H-M 'F -4 3 m'
_symmetry_Int_Tables_number 216
_symmetry_space_group_name_Hall 'F -4 2 3'
loop_
_atom_site_label
_atom_site_fract_x
_atom_site_fract_y
_atom_site_fract_z
Co1 0.125 0.125 0.125
Br1 0.250 0.250 0.750
Cl1 0.000 0.000 0.500

---

(3)
# BeAlCr3, optimized geometry, DFT PBEsol
# * total DFT energy (no corrections): -7.020 eV per atom
# * calculated volume: 61 Å³ per cell
# * ρ: 5.2 g/cm³
# * formation enthalpy at 0 K: 0.744 eV/atom
# * relative energy among the computed polymorphs: 0.00 kcal/mol of atoms
data_BeAlCr3
_chemical_formula_sum 'Be1 Al1 Cr3'
_cell_length_a 3.943
_cell_length_b 3.943
_cell_length_c 3.943
_cell_angle_alpha 90.00
_cell_angle_beta 90.00
_cell_angle_gamma 90.00
_symmetry_space_group_name_H-M 'P m -3 m'
_symmetry_Int_Tables_number 221
_symmetry_space_group_name_Hall '-P 4 2 3'
loop_
_atom_site_label
_atom_site_fract_x
_atom_site_fract_y
_atom_site_fract_z
Be1 0.000 0.000 0.000
Al1 0.500 0.500 0.500
Cr1 0.000 0.000 0.500